# Al2GaTc2, relaxed, DFT PBE
data_Al2GaTc2
_chemical_formula_sum 'Al2 Ga1 Tc2'
_cell_length_a 4.3485
_cell_length_b 4.3485
_cell_length_c 5.1237
_cell_angle_alpha 90.00
_cell_angle_beta 90.00
_cell_angle_gamma 120.00
_space_group_name_H-M_alt 'P -3 m 1'
_space_group_IT_number 164
_space_group_name_Hall '-P 3 2"'
loop_
_atom_site_label
_atom_site_fract_x
_atom_site_fract_y
_atom_site_fract_z
Al1 0.3333 0.6667 0.1091
Ga1 0.0000 0.0000 0.5000
Tc1 0.3333 0.6667 0.6065
# - theoretical density (g cm⁻³) = 6.3
# - total moment (Bohr magnetons per cell) = 0.00
# - crystal system = trigonal
# - energy (eV per atom) = -6.38